DFT (meta-GGA SCAN) results for a PBEsol-optimized structure of LaAs3H.

Output
Space group: No. 221
Final energy in eV/atom: -21.7540
ρ in g/cm3: 6.96

a b c (Å): 4.432 4.432 4.432
angles (deg): 90.00 90.00 90.00
Positions (direct):
H 0.000 0.000 0.000
As 0.000 0.500 0.000
As 0.000 0.000 0.500
As 0.500 0.000 0.000
La 0.500 0.500 0.500



DFT (meta-GGA SCAN) results for a PBEsol-optimized structure of YAl2Os.

Output
Space group: No. 160
Formation enthalpy at 0 K in eV/atom: 0.105
ρ in g/cm3: 7.67

a b c (Å): 3.030 3.030 9.238
angles (deg): 80.56 80.56 60.00
Positions (direct):
Y 0.243 0.243 0.271
Os 0.492 0.492 0.524
Al 0.008 0.008 0.977
Al 0.757 0.757 0.728



DFT (meta-GGA SCAN) results for a PBEsol-optimized structure of ZrBr2Cl.

Output
Space group: No. 8
Excess energy over the best structure of this formula in the dataset in eV/atom: 0.000
ρ in g/cm3: 4.12
Formation energy without anion corrections in eV/atom: -1.59

a b c (Å): 3.313 6.366 6.587
angles (deg): 119.49 90.00 105.08
Positions (direct):
Br 0.915 0.830 0.946
Br 0.750 0.500 0.310
Zr 0.246 0.492 0.623
Cl 0.589 0.178 0.621



DFT (meta-GGA SCAN) results for a PBEsol-optimized structure of SbPC3S3N3Cl3O.

Output
Space group: No. 217
ρ in g/cm3: 2.22
Formation energy without anion corrections in eV/atom: -0.35

a b c (Å): 12.048 12.048 12.048
angles (deg): 109.47 109.47 109.47
Positions (direct):
Sb 0.793 0.793 0.793
Sb 0.000 0.207 0.000
Sb 0.207 0.000 0.000
Sb 0.000 0.000 0.207
P 0.342 0.342 0.342
P 0.000 0.000 0.658
P 0.658 0.000 0.000
P 0.000 0.658 0.000
C 0.513 0.287 0.513
C 0.487 0.774 0.000
C 0.487 0.000 0.774
C 0.226 0.226 0.713
C 0.000 0.774 0.487
C 0.000 0.487 0.774
C 0.226 0.713 0.226
C 0.513 0.513 0.287
C 0.774 0.000 0.487
C 0.713 0.226 0.226
C 0.287 0.513 0.513
C 0.774 0.487 0.000
S 0.000 0.649 0.392
S 0.743 0.351 0.351
S 0.392 0.000 0.649
S 0.649 0.392 0.000
S 0.351 0.351 0.743
S 0.608 0.257 0.608
S 0.257 0.608 0.608
S 0.351 0.743 0.351
S 0.608 0.608 0.257
S 0.000 0.392 0.649
S 0.392 0.649 0.000
S 0.649 0.000 0.392
N 0.438 0.438 0.308
N 0.438 0.308 0.438
N 0.562 0.870 0.000
N 0.692 0.130 0.130
N 0.130 0.130 0.692
N 0.000 0.870 0.562
N 0.308 0.438 0.438
N 0.562 0.000 0.870
N 0.870 0.000 0.562
N 0.130 0.692 0.130
N 0.870 0.562 0.000
N 0.000 0.562 0.870
Cl 0.177 0.000 0.372
Cl 0.000 0.372 0.177
Cl 0.805 0.628 0.628
Cl 0.823 0.195 0.823
Cl 0.372 0.000 0.177
Cl 0.628 0.805 0.628
Cl 0.372 0.177 0.000
Cl 0.195 0.823 0.823
Cl 0.628 0.628 0.805
Cl 0.000 0.177 0.372
Cl 0.823 0.823 0.195
Cl 0.177 0.372 0.000
O 0.000 0.782 0.000
O 0.000 0.000 0.782
O 0.782 0.000 0.000
O 0.218 0.218 0.218